# 1
{
  "formula": "TmLu2Tl",
  "functional": "PBE-GGA",
  "state": "optimized geometry",
  "cell": [[3.491, 0.000, 0.000], [1.745, 3.023, 0.000], [1.745, 1.008, 10.845]],
  "species": ["Tm", "Lu", "Lu", "Tl"],
  "frac_coords": [[0.500, 0.500, 0.500], [0.253, 0.253, 0.241], [0.747, 0.747, 0.759], [0.000, 0.000, 0.000]],
  "magnetic_moment_mub_per_atom": 0.000,
  "spacegroup": "R-3m (166)",
  "de_polymorph_mev_per_atom": 57,
  "formation_enthalpy_0k_ev_per_atom": -0.100,
  "e_tot_ev_per_cell": -16.281
}

***

# 2
{
  "formula": "PmNbOsRu",
  "functional": "PBE-GGA",
  "state": "optimized geometry",
  "cell": [[-2.260, 4.026, 0.879], [-2.276, 0.576, 4.071], [1.674, 2.979, 3.227]],
  "species": ["Nb", "Pm", "Os", "Ru"],
  "frac_coords": [[0.000, 0.000, 0.000], [0.500, 0.500, 0.500], [0.250, 0.250, 0.250], [0.750, 0.750, 0.750]],
  "magnetic_moment_mub_per_atom": 0.000,
  "spacegroup": "F-43m (216)",
  "formation_enthalpy_0k_ev_per_atom": -0.006,
  "e_tot_ev_per_cell": -35.348
}

***

# 3
{
  "formula": "Tm2V2GaRu5",
  "functional": "PBE-GGA",
  "state": "optimized geometry",
  "cell": [[3.194, 0.000, 0.000], [0.000, 10.160, 0.000], [0.000, 0.000, 10.160]],
  "species": ["V", "V", "V", "V", "Ru", "Ru", "Ru", "Ru", "Ru", "Ru", "Ru", "Ru", "Ru", "Ru", "Ga", "Ga", "Tm", "Tm", "Tm", "Tm"],
  "frac_coords": [[0.000, 0.871, 0.371], [0.000, 0.129, 0.629], [0.000, 0.629, 0.871], [0.000, 0.371, 0.129], [0.500, 0.066, 0.798], [0.500, 0.798, 0.934], [0.500, 0.500, 0.000], [0.500, 0.566, 0.702], [0.500, 0.202, 0.066], [0.500, 0.298, 0.566], [0.500, 0.702, 0.434], [0.500, 0.934, 0.202], [0.500, 0.434, 0.298], [0.500, 0.000, 0.500], [0.000, 0.500, 0.500], [0.000, 0.000, 0.000], [0.000, 0.827, 0.673], [0.000, 0.327, 0.827], [0.000, 0.173, 0.327], [0.000, 0.673, 0.173]],
  "magnetic_moment_mub_per_atom": 0.000,
  "spacegroup": "P4/mbm (127)",
  "formation_enthalpy_0k_ev_per_atom": -0.275,
  "e_tot_ev_per_cell": -158.666
}

***

> Which formula does entry 1 have?

TmLu2Tl